# 1
# LaHfTiSb

LaHfTiSb after structural relaxation (GGA-PBE, Alexandria).

POSCAR file:
```
LaHfTiSb
1.0
-4.675 -1.414 0.820
0.014 -2.005 -3.378
6.323 -6.835 4.082
La Sb Hf Ti
2 2 2 2
Direct
0.095 0.000 0.071
0.095 0.500 0.571
0.751 0.000 0.311
0.751 0.500 0.811
0.292 0.000 0.832
0.292 0.500 0.332
0.609 0.000 0.589
0.609 0.500 0.089
```

Values from the calculation:
electronic total energy = -27.4 eV per formula unit
calculated density = 8.658 Mg/m³
SG = Cm
uncorrected formation energy = -0.136 eV per atom
V = 23.35 A^3/atom
energy above the lowest structure with this stoichiometry = 124 meV per atom

***

# 2
# LaHfTiSb

LaHfTiSb after structural relaxation (GGA-PBE, Alexandria).

POSCAR file:
```
LaHfTiSb
1.0
-2.489 -2.352 3.072
1.570 -3.215 -1.190
8.864 1.302 8.180
Ti La Sb Hf
2 2 2 2
Direct
0.500 0.500 0.551
0.500 0.000 0.051
0.000 0.000 0.333
0.000 0.500 0.833
0.500 0.000 0.735
0.500 0.500 0.235
0.000 0.500 0.091
0.000 0.000 0.591
```

Values from the calculation:
electronic total energy = -27.5 eV per formula unit
calculated density = 7.686 Mg/m³
SG = Amm2
uncorrected formation energy = -0.154 eV per atom
V = 26.30 A^3/atom
energy above the lowest structure with this stoichiometry = 106 meV per atom

***

# 3
# LaHfTiSb

LaHfTiSb after structural relaxation (GGA-PBE, Alexandria).

POSCAR file:
```
LaHfTiSb
1.0
-3.345 -4.324 1.368
1.962 -2.090 -1.808
7.032 0.148 7.461
Hf Ti La Sb
2 2 2 2
Direct
0.240 0.500 0.484
0.240 0.000 0.984
0.663 0.000 0.462
0.663 0.500 0.962
0.942 0.500 0.719
0.942 0.000 0.219
0.449 0.500 0.231
0.449 0.000 0.731
```

Values from the calculation:
electronic total energy = -27.6 eV per formula unit
calculated density = 8.510 Mg/m³
SG = Cm
uncorrected formation energy = -0.166 eV per atom
V = 23.76 A^3/atom
energy above the lowest structure with this stoichiometry = 94 meV per atom

***

# 4
# LaHfTiSb

LaHfTiSb after structural relaxation (GGA-PBE, Alexandria).

POSCAR file:
```
LaHfTiSb
1.0
3.709 0.000 0.000
0.000 3.709 0.000
0.000 0.000 7.315
Ti Hf La Sb
1 1 1 1
Direct
0.500 0.500 0.634
0.000 0.000 0.443
0.000 0.000 0.937
0.500 0.500 0.239
```

Values from the calculation:
electronic total energy = -27.9 eV per formula unit
calculated density = 8.035 Mg/m³
SG = P4mm
uncorrected formation energy = -0.260 eV per atom
V = 25.16 A^3/atom
energy above the lowest structure with this stoichiometry = 0 meV per atom

***

# 5
# LaHfTiSb

LaHfTiSb after structural relaxation (GGA-PBE, Alexandria).

POSCAR file:
```
LaHfTiSb
1.0
5.451 0.000 0.000
0.000 3.265 0.000
-1.582 0.000 5.491
La Hf Ti Sb
1 1 1 1
Direct
0.782 0.000 0.996
0.420 0.500 0.402
0.904 0.000 0.491
0.244 0.500 0.859
```

Values from the calculation:
electronic total energy = -27.6 eV per formula unit
calculated density = 8.275 Mg/m³
SG = Pm
uncorrected formation energy = -0.166 eV per atom
V = 24.43 A^3/atom
energy above the lowest structure with this stoichiometry = 94 meV per atom

***

# 6
# LaHfTiSb

LaHfTiSb after structural relaxation (GGA-PBE, Alexandria).

POSCAR file:
```
LaHfTiSb
1.0
5.357 0.000 0.004
0.000 3.329 0.000
-2.000 0.000 5.241
Hf La Ti Sb
1 1 1 1
Direct
0.500 0.000 0.000
0.000 0.500 0.000
0.500 0.500 0.500
0.000 0.000 0.500
```

Values from the calculation:
electronic total energy = -27.3 eV per formula unit
calculated density = 8.650 Mg/m³
SG = P2/m
uncorrected formation energy = -0.099 eV per atom
V = 23.37 A^3/atom
energy above the lowest structure with this stoichiometry = 161 meV per atom